Entry 1:
Compound: TbSm2Tm4
Source: Alexandria via LeMat-Bulk
Functional: GGA-PBE
Structure: relaxed

a b c (Å): 9.821 8.438 8.448
angles (deg): 138.46 97.39 94.92
Sites, in units of the cell vectors:
1 Tm 0.204 0.223 0.384
2 Tm 0.704 0.893 0.556
3 Tm 0.850 0.107 0.335
4 Tm 0.349 0.582 0.312
5 Tm 0.547 0.605 0.693
6 Tm 0.400 0.242 0.763
7 Tm 0.047 0.926 0.515
8 Tm 0.901 0.706 0.725
9 Tb 0.987 0.316 0.123
10 Tb 0.262 0.892 0.835
11 Sm 0.763 0.501 0.947
12 Sm 0.125 0.564 0.938
13 Sm 0.486 0.936 0.242
14 Sm 0.625 0.258 0.133

Summary:
size of the total moment	0.000	Bohr magnetons per cell
energy of formation from the pure elements	80	meV per atom
symmetry	P1

---

Entry 2:
Compound: SiIr2Rh
Source: Alexandria via LeMat-Bulk
Functional: GGA-PBE
Structure: relaxed

a b c (Å): 4.564 4.564 2.779
angles (deg): 90.00 90.00 105.90
Sites, in units of the cell vectors:
1 Si 0.000 0.500 0.500
2 Ir 0.000 0.000 0.000
3 Ir 0.500 0.500 0.000
4 Rh 0.500 0.000 0.500

Summary:
size of the total moment	0.000	Bohr magnetons per cell
formation energy (no corrections)	-5.1	kcal/mol of atoms
symmetry	Cmmm

---

Entry 3:
Compound: YLuHg2
Source: Alexandria via LeMat-Bulk
Functional: GGA-PBE
Structure: relaxed

a b c (Å): 5.218 5.218 5.218
angles (deg): 60.00 60.00 60.00
Sites, in units of the cell vectors:
1 Y 0.000 0.000 0.000
2 Hg 0.750 0.750 0.750
3 Hg 0.250 0.250 0.250
4 Lu 0.500 0.500 0.500

Summary:
size of the total moment	0.001	Bohr magnetons per cell
energy of formation from the pure elements	-485	meV per atom
symmetry	Fm-3m

---

Entry 4:
Compound: EuPuPt
Source: Alexandria via LeMat-Bulk
Functional: GGA-PBE
Structure: relaxed

a b c (Å): 4.963 4.963 4.963
angles (deg): 60.00 60.00 60.00
Last column: magnetic moment on the atom in μB.
Sites, in units of the cell vectors:
1 Pu 0.500 0.500 0.500  5.50
2 Pt 0.250 0.250 0.250  -0.10
3 Eu 0.000 0.000 0.000  6.88

Summary:
size of the total moment	12.941	Bohr magnetons per cell
energy of formation from the pure elements	-505	meV per atom
symmetry	F-43m

---

Entry 5:
Compound: InRh2Pb
Source: Alexandria via LeMat-Bulk
Functional: GGA-PBE
Structure: relaxed

a b c (Å): 3.199 3.199 7.848
angles (deg): 90.00 90.00 90.00
Last column: magnetic moment on the atom in μB.
Sites, in units of the cell vectors:
1 Pb 0.500 0.500 0.803  -0.01
2 Rh 0.000 0.000 0.029  0.32
3 Rh 0.500 0.500 0.236  0.17
4 In 0.000 0.000 0.433  0.00

Summary:
size of the total moment	0.483	Bohr magnetons per cell
energy of formation from the pure elements	66	meV per atom
symmetry	P4mm

---

Entry 6:
Compound: KAgPdCl6
Source: Alexandria via LeMat-Bulk
Functional: GGA-PBE
Structure: relaxed

a b c (Å): 6.822 6.823 6.625
angles (deg): 90.01 90.00 59.99
Sites, in units of the cell vectors:
1 Pd 0.333 0.333 0.500
2 Cl 0.607 0.042 0.295
3 Cl 0.350 0.042 0.705
4 Cl 0.350 0.607 0.295
5 Cl 0.042 0.607 0.705
6 Cl 0.042 0.350 0.295
7 Cl 0.607 0.350 0.705
8 K 0.000 0.000 0.000
9 Ag 0.667 0.667 0.500

Summary:
size of the total moment	0.000	Bohr magnetons per cell
formation energy (no corrections)	-17.1	kcal/mol of atoms
symmetry	P312

---

Entry 7:
Compound: CsAgTePb
Source: Alexandria via LeMat-Bulk
Functional: GGA-PBE
Structure: relaxed

a b c (Å): 4.571 4.571 15.127
angles (deg): 90.00 90.00 90.00
Sites, in units of the cell vectors:
1 Te 0.750 0.750 0.884
2 Te 0.250 0.250 0.116
3 Cs 0.750 0.750 0.241
4 Cs 0.250 0.250 0.759
5 Pb 0.750 0.250 0.500
6 Pb 0.250 0.750 0.500
7 Ag 0.250 0.750 0.000
8 Ag 0.750 0.250 0.000

Summary:
size of the total moment	0.000	Bohr magnetons per cell
formation energy (no corrections)	-7.3	kcal/mol of atoms
symmetry	P4/nmm

---

Entry 8:
Compound: LiThGaSn
Source: Alexandria via LeMat-Bulk
Functional: GGA-PBE
Structure: relaxed

a b c (Å): 5.141 5.141 5.141
angles (deg): 60.00 60.00 60.00
Sites, in units of the cell vectors:
1 Ga 0.750 0.750 0.750
2 Li 0.500 0.500 0.500
3 Th 0.000 0.000 0.000
4 Sn 0.250 0.250 0.250

Summary:
size of the total moment	0.000	Bohr magnetons per cell
energy of formation from the pure elements	-301	meV per atom
symmetry	F-43m